1.
This record from Alexandria describes crystalline SrReSb2 at its relaxed geometry. The functional is PBE.

The structure in POSCAR format:
```
SrReSb2
1.0
1.748 1.009 9.730
-1.748 1.009 9.730
0.000 -2.019 9.730
Sr Re Sb
1 1 2
direct
0.000 0.000 0.000
0.249 0.249 0.249
0.523 0.523 0.523
0.763 0.763 0.763
```

Output
**E_form (uncorrected)**: 0.502 eV/atom
**Total magnetization**: 0.0 Bohr magnetons per cell
**E**: -20.4 eV per cell
**E above lowest polymorph**: 531 meV/atom
**Space-group type**: R3m (160)
**Calculated density**: 8.3 Mg/m³

2.
This record from Alexandria describes crystalline SrReSb3 at its relaxed geometry. The functional is PBE.

The structure in POSCAR format:
```
SrReSb3
1.0
5.685 0.000 0.000
0.000 5.685 0.000
0.000 0.000 5.685
Sr Re Sb
1 1 3
direct
0.000 0.000 0.000
0.500 0.500 0.500
0.000 0.000 0.500
0.000 0.500 0.000
0.500 0.000 0.000
```

Output
**E_form (uncorrected)**: 2.311 eV/atom
**Total magnetization**: 0.0 Bohr magnetons per cell
**E**: -14.9 eV per cell
**E above lowest polymorph**: 2080 meV/atom
**Space-group type**: Pm-3m (221)
**Calculated density**: 5.8 Mg/m³

3.
This record from Alexandria describes crystalline SrReSb2 at its relaxed geometry. The functional is PBE.

The structure in POSCAR format:
```
SrReSb2
1.0
-4.035 4.035 3.536
4.035 -4.035 3.536
4.035 4.035 -3.536
Sr Re Sb
2 2 4
direct
0.000 0.000 0.000
0.750 0.250 0.500
0.250 0.750 0.500
0.500 0.500 0.000
0.197 0.625 0.072
0.375 0.447 0.572
0.553 0.125 0.928
0.875 0.803 0.428
```

Output
**E_form (uncorrected)**: 0.155 eV/atom
**Total magnetization**: 0.0 Bohr magnetons per cell
**E**: -43.5 eV per cell
**E above lowest polymorph**: 183 meV/atom
**Space-group type**: I-42d (122)
**Calculated density**: 7.5 Mg/m³

4.
This record from Alexandria describes crystalline SrReSb4 at its relaxed geometry. The functional is PBE.

The structure in POSCAR format:
```
SrReSb4
1.0
0.000 4.421 4.421
4.421 0.000 4.421
4.421 4.421 0.000
Sr Re Sb
1 1 4
direct
0.000 0.000 0.000
0.750 0.750 0.750
0.376 0.376 0.376
0.376 0.376 0.872
0.376 0.872 0.376
0.872 0.376 0.376
```

Output
**E_form (uncorrected)**: 0.706 eV/atom
**Total magnetization**: 4.0 Bohr magnetons per cell
**E**: -26.4 eV per cell
**Space-group type**: F-43m (216)
**Calculated density**: 7.3 Mg/m³

5.
This record from Alexandria describes crystalline SrReSb2 at its relaxed geometry. The functional is PBE.

The structure in POSCAR format:
```
SrReSb2
1.0
3.246 -3.906 0.000
3.246 3.906 0.000
0.000 0.000 3.764
Sr Re Sb
1 1 2
direct
0.000 0.000 0.000
0.500 0.500 0.000
0.000 0.500 0.500
0.500 0.000 0.500
```

Output
**E_form (uncorrected)**: 0.514 eV/atom
**Total magnetization**: 1.0 Bohr magnetons per cell
**E**: -20.3 eV per cell
**E above lowest polymorph**: 543 meV/atom
**Space-group type**: Cmmm (65)
**Calculated density**: 9.0 Mg/m³

6.
This record from Alexandria describes crystalline Sr2ReSb at its relaxed geometry. The functional is PBE.

The structure in POSCAR format:
```
Sr2ReSb
1.0
4.862 0.000 0.000
0.000 4.862 0.000
0.000 0.000 4.618
Sr Re Sb
2 1 1
direct
0.000 0.500 0.000
0.500 0.000 0.000
0.000 0.000 0.500
0.500 0.500 0.500
```

Output
**E_form (uncorrected)**: 0.474 eV/atom
**Total magnetization**: 2.0 Bohr magnetons per cell
**E**: -18.0 eV per cell
**Space-group type**: P4/mmm (123)
**Calculated density**: 7.4 Mg/m³

7.
This record from Alexandria describes crystalline Sr2ReSb at its relaxed geometry. The functional is PBE.

The structure in POSCAR format:
```
Sr2ReSb
1.0
4.496 0.000 0.000
0.000 2.409 5.850
0.000 -2.409 5.850
Sr Re Sb
2 1 1
direct
0.000 0.000 0.000
0.500 0.286 0.286
0.000 0.700 0.700
0.500 0.585 0.585
```

Output
**E_form (uncorrected)**: 0.184 eV/atom
**Total magnetization**: 0.0 Bohr magnetons per cell
**E**: -19.2 eV per cell
**Space-group type**: Amm2 (38)
**Calculated density**: 6.3 Mg/m³

8.
This record from Alexandria describes crystalline SrReSb2 at its relaxed geometry. The functional is PBE.

The structure in POSCAR format:
```
SrReSb2
1.0
3.624 0.000 0.000
0.000 3.624 0.000
0.000 0.000 7.602
Sr Re Sb
1 1 2
direct
0.000 0.000 0.000
0.500 0.500 0.314
0.000 0.000 0.444
0.500 0.500 0.696
```

Output
**E_form (uncorrected)**: 0.245 eV/atom
**Total magnetization**: 0.0 Bohr magnetons per cell
**E**: -21.4 eV per cell
**E above lowest polymorph**: 274 meV/atom
**Space-group type**: P4mm (99)
**Calculated density**: 8.6 Mg/m³

9.
This record from Alexandria describes crystalline Sr2ReSb at its relaxed geometry. The functional is PBE.

The structure in POSCAR format:
```
Sr2ReSb
1.0
-2.441 2.441 4.615
2.441 -2.441 4.615
2.441 2.441 -4.615
Sr Re Sb
2 1 1
direct
0.250 0.750 0.500
0.750 0.250 0.500
0.000 0.000 0.000
0.500 0.500 0.000
```

Output
**E_form (uncorrected)**: 0.508 eV/atom
**Total magnetization**: 2.0 Bohr magnetons per cell
**E**: -17.9 eV per cell
**Space-group type**: I4/mmm (139)
**Calculated density**: 7.3 Mg/m³

10.
This record from Alexandria describes crystalline SrReSb2 at its relaxed geometry. The functional is PBE.

The structure in POSCAR format:
```
SrReSb2
1.0
2.091 1.207 7.102
-2.091 1.207 7.102
0.000 -2.414 7.102
Sr Re Sb
1 1 2
direct
0.000 0.000 0.000
0.500 0.500 0.500
0.228 0.228 0.228
0.772 0.772 0.772
```

Output
**E_form (uncorrected)**: -0.023 eV/atom
**Total magnetization**: 0.0 Bohr magnetons per cell
**E**: -22.5 eV per cell
**E above lowest polymorph**: 5 meV/atom
**Space-group type**: R-3m (166)
**Calculated density**: 8.0 Mg/m³

11.
This record from Alexandria describes crystalline Sr2ReSb at its relaxed geometry. The functional is PBE.

The structure in POSCAR format:
```
Sr2ReSb
1.0
3.441 -1.584 0.000
3.441 1.584 0.000
-1.194 0.000 10.151
Sr Re Sb
2 1 1
direct
0.248 0.248 0.271
0.752 0.752 0.729
0.000 0.000 0.500
0.500 0.500 0.000
```

Output
**E_form (uncorrected)**: 0.633 eV/atom
**Total magnetization**: 0.0 Bohr magnetons per cell
**E**: -17.4 eV per cell
**Space-group type**: C2/m (12)
**Calculated density**: 7.3 Mg/m³

12.
This record from Alexandria describes crystalline SrReSb2 at its relaxed geometry. The functional is PBE.

The structure in POSCAR format:
```
SrReSb2
1.0
-2.209 2.209 5.028
2.209 -2.209 5.028
2.209 2.209 -5.028
Sr Re Sb
1 1 2
direct
0.000 0.000 0.000
0.250 0.750 0.500
0.500 0.500 0.000
0.750 0.250 0.500
```

Output
**E_form (uncorrected)**: 0.538 eV/atom
**Total magnetization**: 2.2 Bohr magnetons per cell
**E**: -20.2 eV per cell
**E above lowest polymorph**: 567 meV/atom
**Space-group type**: I-4m2 (119)
**Calculated density**: 8.7 Mg/m³

13.
This record from Alexandria describes crystalline SrReSb2 at its relaxed geometry. The functional is PBE.

The structure in POSCAR format:
```
SrReSb2
1.0
3.634 0.000 0.000
0.000 4.544 0.000
-0.028 0.000 6.262
Sr Re Sb
1 1 2
direct
0.000 0.000 0.000
0.500 0.000 0.500
0.497 0.500 0.732
0.503 0.500 0.268
```

Output
**E_form (uncorrected)**: 0.206 eV/atom
**Total magnetization**: 0.0 Bohr magnetons per cell
**E**: -21.5 eV per cell
**E above lowest polymorph**: 235 meV/atom
**Space-group type**: P2/m (10)
**Calculated density**: 8.3 Mg/m³

14.
This record from Alexandria describes crystalline Sr2ReSb2 at its relaxed geometry. The functional is PBE.

The structure in POSCAR format:
```
Sr2ReSb2
1.0
-2.082 2.082 9.513
2.082 -2.082 9.513
2.082 2.082 -9.513
Sr Re Sb
2 1 2
direct
0.098 0.098 0.000
0.902 0.902 0.000
0.500 0.500 0.000
0.250 0.750 0.500
0.750 0.250 0.500
```

Output
**E_form (uncorrected)**: 0.599 eV/atom
**Total magnetization**: 2.7 Bohr magnetons per cell
**E**: -21.1 eV per cell
**Space-group type**: I4/mmm (139)
**Calculated density**: 6.1 Mg/m³

15.
This record from Alexandria describes crystalline SrReSb2 at its relaxed geometry. The functional is PBE.

The structure in POSCAR format:
```
SrReSb2
1.0
-1.732 1.870 7.976
1.732 -1.870 7.976
1.732 1.870 -7.976
Sr Re Sb
1 1 2
direct
0.000 0.000 0.000
0.238 0.738 0.500
0.367 0.367 0.000
0.667 0.167 0.500
```

Output
**E_form (uncorrected)**: 0.068 eV/atom
**Total magnetization**: 0.0 Bohr magnetons per cell
**E**: -22.1 eV per cell
**E above lowest polymorph**: 97 meV/atom
**Space-group type**: Imm2 (44)
**Calculated density**: 8.3 Mg/m³